No. 1
DFT (GGA-PBE) results for a relaxed structure of SrGa3Sn.

Computed properties:
**E_form**: 149 meV per atom
**Relative energy among the computed polymorphs**: 501 meV/atom
**Space-group type**: Pm-3m (221)
**Calculated total energy**: -14.0 eV/cell

abc: 5.4112 5.4112 5.4112
angles: 90.00 90.00 90.00
Last column: nearest neighbours and their distance in Å.
Sites, in units of the cell vectors:
Sr  0.0000  0.0000  0.0000  12 Ga 3.83
Ga  0.0000  0.5000  0.5000  2 Sn 2.71
Ga  0.5000  0.0000  0.5000  2 Sn 2.71
Ga  0.5000  0.5000  0.0000  2 Sn 2.71
Sn  0.5000  0.5000  0.5000  6 Ga 2.71

***

No. 2
DFT (GGA-PBE) results for a relaxed structure of ScPtPb.

Computed properties:
**E_form**: -482 meV per atom
**Space-group type**: P3m1 (156)
**Calculated total energy**: -17.5 eV/cell

abc: 3.6853 3.6853 6.1160
angles: 90.00 90.00 120.00
Last column: nearest neighbours and their distance in Å.
Sites, in units of the cell vectors:
Sc  0.0000  0.0000  0.0000  3 Pt 2.61
Pt  0.3333  0.6667  0.7534  3 Sc 2.61
Pb  0.6667  0.3333  0.4192  3 Pt 2.95

***

No. 3
DFT (GGA-PBE) results for a relaxed structure of Pu4Se4Cl3.

Computed properties:
**Space-group type**: Immm (71)
**Calculated total energy**: -92.5 eV/cell

abc: 9.8574 9.8574 9.8574
angles: 156.63 131.73 54.29
Last column: nearest neighbours and their distance in Å.
Sites, in units of the cell vectors:
Pu  0.2358  0.2358  0.0000  6 Se 2.90-2.92
Pu  0.2768  0.5000  0.7768  2 Se 2.93, 6 Cl 2.99-3.06
Pu  0.7232  0.5000  0.2232  2 Se 2.93, 6 Cl 2.99-3.06
Pu  0.7642  0.7642  0.0000  6 Se 2.90-2.92
Se  0.0462  0.3358  0.7104  4 Pu 2.90-2.93
Se  0.3745  0.6642  0.7104  4 Pu 2.90-2.93
Se  0.6255  0.3358  0.2896  4 Pu 2.90-2.93
Se  0.9538  0.6642  0.2896  4 Pu 2.90-2.93
Cl  0.0000  0.0000  0.0000  4 Pu 2.99
Cl  0.4171  0.9171  0.5000  1 Cl 2.91, 4 Pu 3.06
Cl  0.5829  0.0829  0.5000  1 Cl 2.91, 4 Pu 3.06

***

Summary of total magnetization in μB per formula unit
0.0, 0.0, 21.0
(order as listed above)
Summary of theoretical density in Mg/m³
4.35, 10.32, 8.22
(order as listed above)